Compound: PuVH2O6
Source: Alexandria via LeMat-Bulk
Functional: PBE with a Hubbard U
Structure: relaxed

## Properties
* magnetic moment: 3.00 Bohr magnetons per cell
* DOS(E_F): 0.3333 states/eV/atom
* final energy: -76.593 eV for the cell shown

Cell: 5.1159 5.1787 5.4963 Å, 62.96 89.87 63.78°
Last column: nearest neighbours and their distance in Å.
Space group P-1 (No. 2)
Inequivalent atoms, fractional coordinates:
Pu: 0.0000 0.0000 0.0000  4 O 1.91-2.07
V: 0.5000 0.0000 0.5000  6 O 1.87-2.02
H: 0.4092 0.5060 0.7056  1 O 0.98
O: 0.1423 0.1160 0.2344  1 Pu 1.91, 1 V 2.02
O: 0.2569 0.1231 0.7249  1 V 1.87, 1 Pu 2.07
O: 0.4145 0.4709 0.2668  1 H 0.98